Record 1
PBE-GGA AcPmNd2Ho, optimized geometry; M_tot = 0.0 μB/f.u.; electronic total energy = -4.253 eV per atom; energy relative to the elements = 0.3413 eV/atom
1.0
4.1853 -6.1337 0.0000
4.1853 6.1337 0.0000
0.0000 0.0000 7.4089
Ac Pm Nd Ho
2 2 4 2
Direct
0.2421 0.7579 0.7500
0.7579 0.2421 0.2500
0.0577 0.9423 0.2500
0.9423 0.0577 0.7500
0.3037 0.3037 0.0000
0.3037 0.3037 0.5000
0.6963 0.6963 0.0000
0.6963 0.6963 0.5000
0.3068 0.6932 0.2500
0.6932 0.3068 0.7500



Record 2
PBE-GGA Th4TeRuSe2, optimized geometry; M_tot = 0.0 μB/f.u.; electronic total energy = -7.286 eV per atom; raw formation energy = -1153 meV/atom
1.0
7.4293 0.0000 0.0000
0.0000 4.1381 0.0000
-2.4016 0.0000 7.3111
Th Te Ru Se
4 1 1 2
Direct
0.2246 0.0000 0.2145
0.2564 0.5000 0.7744
0.7436 0.5000 0.2256
0.7754 0.0000 0.7855
0.0000 0.0000 0.5000
0.0000 0.5000 0.0000
0.5000 0.0000 0.0000
0.5000 0.5000 0.5000



Record 3
PBE-GGA H6PbCBr3N, optimized geometry; M_tot = 0.0 μB/f.u.; electronic total energy = -4.402 eV per atom; polymorph energy (0 for the lowest one) = 0.02 eV/f.u.
1.0
8.5119 0.0000 0.0000
0.1463 8.6211 0.0000
0.3965 0.0139 12.0445
H Pb C Br N
24 4 4 12 4
Direct
0.0000 0.0000 0.0000
0.0030 0.1354 0.4873
0.0363 0.1683 0.6863
0.0448 0.1863 0.9842
0.1310 0.9837 0.4840
0.1408 0.9838 0.1734
0.1734 0.0073 0.6816
0.1866 0.0482 0.9782
0.1933 0.1832 0.1555
0.2193 0.1840 0.6094
0.4690 0.4670 0.0453
0.4835 0.7141 0.5522
0.5112 0.5418 0.4913
0.5147 0.6359 0.9869
0.5247 0.6563 0.1875
0.5468 0.5120 0.6886
0.6469 0.4880 0.9847
0.6509 0.6785 0.4810
0.6652 0.4983 0.1859
0.6917 0.6617 0.6813
0.7154 0.6803 0.1224
0.7290 0.4799 0.6123
0.9583 0.9728 0.5547
0.9915 0.1338 0.1804
0.1011 0.5797 0.3576
0.1053 0.5870 0.8575
0.5960 0.0910 0.3565
0.6053 0.0801 0.8572
0.1036 0.0968 0.1410
0.1252 0.1055 0.6354
0.6208 0.5987 0.1402
0.6388 0.5662 0.6369
0.1152 0.6445 0.6178
0.1513 0.5441 0.1164
0.3283 0.8599 0.3663
0.3463 0.3222 0.8452
0.3602 0.8356 0.8901
0.3653 0.3488 0.4070
0.5918 0.1404 0.1168
0.6438 0.0238 0.6171
0.8287 0.8103 0.3534
0.8457 0.8247 0.9074
0.8507 0.3451 0.8714
0.8629 0.3247 0.3874
0.0502 0.0453 0.5344
0.0830 0.0830 0.0191
0.5595 0.5440 0.0328
0.5670 0.6289 0.5345



Record 4
PBE-GGA LaTe2Pb, optimized geometry; M_tot = 0.0 μB/f.u.; electronic total energy = -4.683 eV per atom; raw formation energy = -953 meV/atom
1.0
4.6160 0.0000 0.0000
0.0000 4.6327 0.0000
0.0000 0.0000 6.5699
La Te Pb
1 2 1
Direct
0.0000 0.0000 0.0000
0.0000 0.0000 0.5002
0.5000 0.5000 0.0010
0.5000 0.5000 0.5013



Question: The lowest electronic total energy belongs to which entry?
Answer: Th4TeRuSe2



Question: What is the electronic total energy in the first record?
Answer: -4.253 eV per atom